[1]
A plane-wave DFT calculation with PBE was carried out for a geometry-optimized CePm3Ga4 structure.

Energy above the lowest structure with this stoichiometry (meV/atom): 0
DOS(E_F) (states/eV/f.u.): 8.2

abc: 3.6482 3.6482 14.7710
angles: 90.00 90.00 90.00
Last column: nearest neighbours and their distance in Å.
Fractional coordinates of all 8 atoms:
Ce 0.0000 0.0000 0.0000  8 Ga 3.19
Pm 0.0000 0.0000 0.2507  8 Ga 3.16-3.17
Pm 0.0000 0.0000 0.5000  8 Ga 3.17
Pm 0.0000 0.0000 0.7493  8 Ga 3.16-3.17
Ga 0.5000 0.5000 0.1269  4 Pm 3.16, 4 Ce 3.19
Ga 0.5000 0.5000 0.3750  8 Pm 3.17
Ga 0.5000 0.5000 0.6250  8 Pm 3.17
Ga 0.5000 0.5000 0.8731  4 Pm 3.16, 4 Ce 3.19

---

[2]
A plane-wave DFT calculation with PBE was carried out for a geometry-optimized Ce5PmGa6 structure.

DFT total energy (eV/atom): -4.87
DOS(E_F) (states/eV/f.u.): 18.2

abc: 8.5254 8.5254 8.5254
angles: 148.31 120.28 69.20
Last column: nearest neighbours and their distance in Å.
Fractional coordinates of all 12 atoms:
Ce 0.0000 0.0000 0.0000  8 Ga 3.14-3.16, 4 Ce 3.31
Ce 0.1678 0.6678 0.5000  8 Ga 3.16-3.18, 4 Ce 3.20-3.31
Ce 0.3241 0.3241 0.0000  8 Ga 3.10-3.25, 2 Ce 3.20, 2 Pm 3.39
Ce 0.6759 0.6759 0.0000  8 Ga 3.10-3.25, 2 Ce 3.20, 2 Pm 3.39
Ce 0.8322 0.3322 0.5000  8 Ga 3.16-3.18, 4 Ce 3.20-3.31
Pm 0.5000 0.0000 0.5000  8 Ga 3.12-3.14, 4 Ce 3.39
Ga 0.0874 0.8359 0.2514  7 Ce 3.10-3.17, 1 Pm 3.12, 4 Ga 3.27-3.35
Ga 0.2513 0.5000 0.7513  2 Pm 3.14, 6 Ce 3.16-3.25, 4 Ga 3.27
Ga 0.4155 0.1641 0.2514  7 Ce 3.10-3.17, 1 Pm 3.12, 4 Ga 3.27-3.35
Ga 0.5845 0.8359 0.7486  7 Ce 3.10-3.17, 1 Pm 3.12, 4 Ga 3.27-3.35
Ga 0.7487 0.5000 0.2487  2 Pm 3.14, 6 Ce 3.16-3.25, 4 Ga 3.27
Ga 0.9126 0.1641 0.7486  7 Ce 3.10-3.17, 1 Pm 3.12, 4 Ga 3.27-3.35